Here is a relaxed structure of Tb3CeNd from Alexandria via LeMat-Bulk. Energies are from GGA-PBE.

```
Tb3CeNd
1.0
11.098 -0.009 0.007
0.004 6.762 1.926
-0.006 -0.625 8.777
Nd Tb Ce
4 12 4
Cartesian
2.778 6.559 2.361
8.324 4.378 4.014
8.318 -0.431 8.350
2.772 1.751 6.696
5.509 1.093 9.265
6.211 3.538 6.873
11.066 5.031 1.448
0.664 2.593 3.835
0.651 5.963 4.835
10.432 3.535 6.876
6.194 0.169 5.872
4.901 5.959 4.838
10.445 0.165 5.875
4.884 2.590 3.837
0.030 1.097 9.262
5.587 5.035 1.445
8.320 2.862 9.244
8.322 1.016 3.061
2.776 3.267 1.466
2.774 5.112 7.649
```

Results
* energy: -93.54 eV for the cell shown
* magnetic moment: 4.31 μB per cell



Here is a relaxed structure of Tb5Ce2Nd5 from Alexandria via LeMat-Bulk. Energies are from GGA-PBE.

```
Tb5Ce2Nd5
1.0
4.950 0.000 1.117
2.636 10.508 -0.156
0.819 -1.313 7.898
Tb Nd Ce
5 5 2
Cartesian
6.028 6.636 7.865
1.728 4.597 3.871
3.847 -0.860 6.003
4.558 10.054 2.856
2.377 2.559 0.994
2.188 7.510 1.832
6.217 1.685 7.027
0.000 0.000 0.000
4.102 7.078 4.873
4.303 2.117 3.986
4.767 5.035 1.929
3.639 4.160 6.930
```

Results
* energy: -58.23 eV for the cell shown
* magnetic moment: 1.58 μB per cell



Here is a relaxed structure of Tb10CeNd6 from Alexandria via LeMat-Bulk. Energies are from GGA-PBE.

```
Tb10CeNd6
1.0
6.924 0.005 -0.002
-0.016 8.448 -4.880
0.005 0.008 9.760
Tb Nd Ce
10 6 1
Cartesian
5.645 6.148 3.597
6.902 5.638 -0.001
1.268 2.313 1.282
5.647 0.052 2.644
0.011 2.823 4.880
3.322 5.644 -0.003
3.591 2.817 4.881
5.654 2.275 8.396
1.266 8.409 2.234
1.259 6.185 -3.517
2.071 5.199 3.122
4.836 5.300 -2.944
2.073 0.109 3.698
4.842 3.262 1.756
2.077 3.161 7.822
4.840 8.352 1.180
3.462 0.002 -0.001
```

Results
* energy: -78.44 eV for the cell shown
* magnetic moment: 1.21 μB per cell



Please write out number 1 again, unchanged.
Here is a relaxed structure of Tb3CeNd from Alexandria via LeMat-Bulk. Energies are from GGA-PBE.

```
Tb3CeNd
1.0
11.098 -0.009 0.007
0.004 6.762 1.926
-0.006 -0.625 8.777
Nd Tb Ce
4 12 4
Cartesian
2.778 6.559 2.361
8.324 4.378 4.014
8.318 -0.431 8.350
2.772 1.751 6.696
5.509 1.093 9.265
6.211 3.538 6.873
11.066 5.031 1.448
0.664 2.593 3.835
0.651 5.963 4.835
10.432 3.535 6.876
6.194 0.169 5.872
4.901 5.959 4.838
10.445 0.165 5.875
4.884 2.590 3.837
0.030 1.097 9.262
5.587 5.035 1.445
8.320 2.862 9.244
8.322 1.016 3.061
2.776 3.267 1.466
2.774 5.112 7.649
```

Results
* energy: -93.54 eV for the cell shown
* magnetic moment: 4.31 μB per cell



> What is the magnetic moment in the second record?

1.58 μB per cell